[1]
This record from Alexandria via LeMat-Bulk describes Nd4Pb3Br after structural relaxation. The functional is PBE.

Computed properties:
- N(E_F): 9.059 states/eV/cell
- Raw formation energy: -0.72 eV per atom
- VASP energy: -75.3 eV per cell
- Crystal system: tetragonal

Cell lengths 6.399, 6.399, 12.806 Å; angles 90.00, 90.00, 90.00 degrees
Space group I4/mmm (No. 139)
Unique sites:
Nd (0.000, 0.000, 0.250)
Nd (0.000, 0.500, 0.000)
Pb (0.000, 0.000, 0.000)
Pb (0.000, 0.500, 0.250)
Br (0.000, 0.000, 0.500)



[2]
This record from Alexandria via LeMat-Bulk describes Al2ZnP after structural relaxation. The functional is PBE.

Computed properties:
- N(E_F): 1.014 states/eV/cell
- Offset from the most stable computed form: 0.08 eV per formula unit
- VASP energy: -14.0 eV per cell
- Crystal system: monoclinic
- Energy of formation: 38.9 meV per atom

Cell lengths 3.903, 3.483, 5.195 Å; angles 90.00, 109.23, 90.00 degrees
Space group P2/m (No. 10)
Unique sites:
Al (0.000, 0.000, 0.000)
Al (0.500, 0.500, 0.500)
Zn (0.000, 0.000, 0.500)
P (0.500, 0.500, 0.000)